Tl2CrGaO6, relaxed, DFT PBE+U; raw total energy = -5.728 eV per atom
1.0
5.3588 -0.0153 -0.0126
2.6669 4.8278 0.0235
2.6678 1.6300 4.5441
O Ga Cr Tl
6 1 1 2
direct
0.4950 0.6340 0.8696
0.6924 0.0645 0.7993
0.9400 0.5683 0.3031
0.1349 0.4955 0.7362
0.4973 0.1367 0.3669
0.1374 0.9982 0.2335
0.3162 0.3162 0.0515
0.8162 0.8162 0.5515
0.0898 0.0657 0.8015
0.5425 0.5663 0.3020